## Os2PtBr (PBE)

Data for a relaxed structure of Os2PtBr.

a = 4.9386 Å, b = 4.9386 Å, c = 4.9315 Å
α = 79.08°, β = 79.08°, γ = 33.52°
Last column: nearest neighbours and their distance in Å.
Positions (direct):
Br 0.2769 0.2769 0.2199  4 Os 2.63-2.69, 1 Pt 2.73, 2 Br 2.85
Os 0.7305 0.7305 0.7823  5 Os 2.62-2.92, 2 Br 2.69, 3 Pt 2.83-2.92
Os 0.0012 0.0012 0.9810  5 Os 2.62-2.92, 2 Br 2.63, 2 Pt 2.71
Pt 0.4913 0.4913 0.5168  7 Os 2.71-2.99, 1 Br 2.73, 2 Pt 2.85

Output
Volume = 65 Å³ per cell
SG = Cm
Energy relative to the elements, uncorrected = 1.036 eV/atom
Offset from the most stable computed form = 457 meV/atom
Electronic total energy = -6.51 eV per atom

=====

## OsPtBr2 (PBE)

Data for a relaxed structure of OsPtBr2.

a = 2.9759 Å, b = 5.6689 Å, c = 4.4085 Å
α = 90.00°, β = 90.00°, γ = 90.00°
Last column: nearest neighbours and their distance in Å.
Positions (direct):
Br 0.5000 0.5000 0.0000  4 Pt 2.66, 2 Br 2.98
Br 0.0000 0.0000 0.0000  4 Os 2.66, 2 Br 2.98
Os 0.5000 0.0000 0.5000  4 Br 2.66, 2 Os 2.98
Pt 0.0000 0.5000 0.5000  4 Br 2.66, 2 Pt 2.98

Output
Volume = 74 Å³ per cell
SG = Pmmm
Energy relative to the elements, uncorrected = 1.151 eV/atom
Offset from the most stable computed form = 791 meV/atom
Electronic total energy = -4.00 eV per atom

=====

## OsPtBr2 (PBE)

Data for a relaxed structure of OsPtBr2.

a = 4.6486 Å, b = 4.6486 Å, c = 4.6486 Å
α = 60.00°, β = 60.00°, γ = 60.00°
Last column: nearest neighbours and their distance in Å.
Positions (direct):
Br 0.7500 0.7500 0.7500  4 Os 2.85, 4 Pt 2.85
Os 0.0000 0.0000 0.0000  8 Br 2.85
Pt 0.5000 0.5000 0.5000  8 Br 2.85
Br 0.2500 0.2500 0.2500  4 Os 2.85, 4 Pt 2.85

Output
Volume = 71 Å³ per cell
SG = Fm-3m
Energy relative to the elements, uncorrected = 1.397 eV/atom
Offset from the most stable computed form = 1036 meV/atom
Electronic total energy = -3.76 eV per atom